1.
# KSrLiTa2

A PBEsol-optimized structure of KSrLiTa2 (SCAN, the Alexandria database).

POSCAR file:
```
KSrLiTa2
1.0
4.850 0.000 0.000
0.000 4.850 0.000
0.000 0.000 5.562
K Sr Li Ta
1 1 1 2
direct
0.000 0.000 0.000
0.000 0.000 0.500
0.500 0.500 0.500
0.000 0.500 0.000
0.500 0.000 0.000
```

Density, g/cm3: 6.29
Formation enthalpy at 0 K, meV per atom: 2492

=====

2.
# CaInAu2

A PBEsol-optimized structure of CaInAu2 (SCAN, the Alexandria database).

POSCAR file:
```
CaInAu2
1.0
4.679 0.000 0.000
0.000 4.679 0.000
0.000 0.000 3.792
Ca In Au
1 1 2
direct
0.000 0.000 0.000
0.500 0.500 0.000
0.000 0.500 0.500
0.500 0.000 0.500
```

Density, g/cm3: 10.98
Formation enthalpy at 0 K, meV per atom: -637

=====

3.
# CsTe2Ru

A PBEsol-optimized structure of CsTe2Ru (SCAN, the Alexandria database).

POSCAR file:
```
CsTe2Ru
1.0
5.796 0.000 0.000
-2.898 5.020 0.000
0.000 0.000 11.756
Cs Te Ru
3 6 3
direct
0.000 0.000 0.000
0.333 0.667 0.667
0.667 0.333 0.333
0.000 0.000 0.280
0.000 0.000 0.720
0.333 0.667 0.386
0.333 0.667 0.947
0.667 0.333 0.053
0.667 0.333 0.614
0.000 0.000 0.500
0.333 0.667 0.167
0.667 0.333 0.833
```

Density, g/cm3: 7.12

=====

4.
# Sr2Pr2CrNiO8

A PBEsol-optimized structure of Sr2Pr2CrNiO8 (SCAN, the Alexandria database).

POSCAR file:
```
Sr2Pr2CrNiO8
1.0
5.350 0.000 0.000
0.000 2.663 6.222
0.000 -2.663 6.222
Sr Pr Cr Ni O
2 2 1 1 8
direct
0.000 0.000 0.000
0.500 0.210 0.210
0.000 0.718 0.718
0.500 0.493 0.493
0.500 0.857 0.857
0.000 0.355 0.355
0.000 0.191 0.191
0.000 0.532 0.532
0.255 0.103 0.608
0.255 0.608 0.103
0.500 0.014 0.014
0.500 0.685 0.685
0.745 0.103 0.608
0.745 0.608 0.103
```

Density, g/cm3: 6.52

=====

5.
# Tl2Cd2Hg

A PBEsol-optimized structure of Tl2Cd2Hg (SCAN, the Alexandria database).

POSCAR file:
```
Tl2Cd2Hg
1.0
4.055 0.000 0.000
0.000 4.055 0.000
0.000 0.000 16.212
Tl Cd Hg
4 4 2
direct
0.000 0.000 0.098
0.000 0.000 0.902
0.500 0.500 0.402
0.500 0.500 0.598
0.000 0.500 0.250
0.000 0.500 0.750
0.500 0.000 0.250
0.500 0.000 0.750
0.000 0.000 0.500
0.500 0.500 0.000
```

Density, g/cm3: 10.39
Formation enthalpy at 0 K, meV per atom: 100

=====

6.
# Ni3HgS

A PBEsol-optimized structure of Ni3HgS (SCAN, the Alexandria database).

POSCAR file:
```
Ni3HgS
1.0
4.642 0.000 0.000
0.000 4.642 0.000
0.000 0.000 4.642
Ni Hg S
3 1 1
direct
0.000 0.000 0.500
0.000 0.500 0.000
0.500 0.000 0.000
0.000 0.000 0.000
0.500 0.500 0.500
```

Density, g/cm3: 6.78
Energy relative to the lowest polymorph listed for this composition, meV/atom: 1350

=====

7.
# BI2F

A PBEsol-optimized structure of BI2F (SCAN, the Alexandria database).

POSCAR file:
```
BI2F
1.0
6.503 0.000 0.000
0.000 6.503 0.000
0.000 0.000 7.801
B I F
4 8 4
direct
0.000 0.000 0.000
0.000 0.500 0.250
0.500 0.000 0.750
0.500 0.500 0.500
0.192 0.250 0.125
0.250 0.692 0.375
0.250 0.808 0.875
0.308 0.250 0.625
0.692 0.750 0.625
0.750 0.192 0.875
0.750 0.308 0.375
0.808 0.750 0.125
0.000 0.000 0.500
0.000 0.500 0.750
0.500 0.000 0.250
0.500 0.500 0.000
```

Density, g/cm3: 5.71

=====

8.
# AlAgGeN2

A PBEsol-optimized structure of AlAgGeN2 (SCAN, the Alexandria database).

POSCAR file:
```
AlAgGeN2
1.0
3.699 0.000 0.000
0.000 3.699 0.000
0.000 0.000 5.470
Al Ag Ge N
1 1 1 2
direct
0.000 0.000 0.000
0.500 0.500 0.000
0.500 0.500 0.500
0.000 0.500 0.500
0.500 0.000 0.500
```

Density, g/cm3: 5.23

=====

no.,uncorrected energy (eV/atom)
1,-30.740
2,-45.978
3,-36.296
4,-18.324
5,-54.642
6,-23.890
7,-21.147
8,-14.142